GGA+U YSc2WO8, relaxed; crystal system = orthorhombic; N(E_F) = 6.40 states/eV per cell; E = -99.8 eV/f.u.
1.0
-4.379 0.150 -2.122
-1.371 -3.874 2.610
-2.179 3.990 4.779
Sc O W Y
2 8 1 1
direct
0.500 0.500 0.750 Sc
0.500 0.500 0.250 Sc
0.807 0.193 0.785 O
0.319 0.319 0.500 O
0.681 0.681 0.500 O
0.287 0.287 0.000 O
0.807 0.193 0.215 O
0.713 0.713 0.000 O
0.193 0.807 0.215 O
0.193 0.807 0.785 O
0.000 0.000 0.000 W
0.000 0.000 0.500 Y